Computed, not measured: Er3Ge5Te12 after structural relaxation at the PBE level of DFT.

Unit cell a=14.987 b=14.987 c=14.987 alpha=109.47 beta=109.47 gamma=109.47
Sites, in units of the cell vectors:
1 Er 0.125 0.250 0.375
2 Er 0.125 0.375 0.750
3 Er 0.250 0.375 0.125
4 Er 0.250 0.875 0.625
5 Er 0.375 0.125 0.250
6 Er 0.375 0.750 0.125
7 Er 0.625 0.250 0.875
8 Er 0.625 0.875 0.750
9 Er 0.750 0.125 0.375
10 Er 0.750 0.625 0.875
11 Er 0.875 0.625 0.250
12 Er 0.875 0.750 0.625
13 Ge 0.000 0.000 0.000
14 Ge 0.000 0.000 0.500
15 Ge 0.000 0.500 0.000
16 Ge 0.000 0.500 0.500
17 Ge 0.125 0.750 0.875
18 Ge 0.125 0.875 0.250
19 Ge 0.250 0.125 0.875
20 Ge 0.250 0.625 0.375
21 Ge 0.375 0.250 0.625
22 Ge 0.375 0.625 0.750
23 Ge 0.500 0.000 0.000
24 Ge 0.500 0.000 0.500
25 Ge 0.500 0.500 0.000
26 Ge 0.500 0.500 0.500
27 Ge 0.625 0.375 0.250
28 Ge 0.625 0.750 0.375
29 Ge 0.750 0.375 0.625
30 Ge 0.750 0.875 0.125
31 Ge 0.875 0.125 0.750
32 Ge 0.875 0.250 0.125
33 Te 0.044 0.218 0.132
34 Te 0.044 0.325 0.911
35 Te 0.086 0.718 0.675
36 Te 0.086 0.868 0.411
37 Te 0.089 0.632 0.414
38 Te 0.089 0.956 0.675
39 Te 0.132 0.044 0.218
40 Te 0.132 0.589 0.914
41 Te 0.175 0.218 0.586
42 Te 0.175 0.456 0.589
43 Te 0.218 0.132 0.044
44 Te 0.218 0.586 0.175
45 Te 0.282 0.325 0.914
46 Te 0.282 0.456 0.368
47 Te 0.325 0.911 0.044
48 Te 0.325 0.914 0.282
49 Te 0.368 0.282 0.456
50 Te 0.368 0.586 0.911
51 Te 0.411 0.086 0.868
52 Te 0.411 0.825 0.544
53 Te 0.414 0.089 0.632
54 Te 0.414 0.825 0.782
55 Te 0.456 0.368 0.282
56 Te 0.456 0.589 0.175
57 Te 0.544 0.411 0.825
58 Te 0.544 0.632 0.718
59 Te 0.586 0.175 0.218
60 Te 0.586 0.911 0.368
61 Te 0.589 0.175 0.456
62 Te 0.589 0.914 0.132
63 Te 0.632 0.414 0.089
64 Te 0.632 0.718 0.544
65 Te 0.675 0.086 0.718
66 Te 0.675 0.089 0.956
67 Te 0.718 0.544 0.632
68 Te 0.718 0.675 0.086
69 Te 0.782 0.414 0.825
70 Te 0.782 0.868 0.956
71 Te 0.825 0.544 0.411
72 Te 0.825 0.782 0.414
73 Te 0.868 0.411 0.086
74 Te 0.868 0.956 0.782
75 Te 0.911 0.044 0.325
76 Te 0.911 0.368 0.586
77 Te 0.914 0.132 0.589
78 Te 0.914 0.282 0.325
79 Te 0.956 0.675 0.089
80 Te 0.956 0.782 0.868

Results
DFT total energy = -83.66 eV/f.u.
density = 6.1 g cm⁻³
energy relative to the elements, uncorrected = -0.459 eV per atom
volume = 32.394 Å³ per atom
total magnetization = 0.000 Bohr magnetons per cell

=====

Computed, not measured: Er5GeTe5 after structural relaxation at the PBE level of DFT.

Unit cell a=7.438 b=7.438 c=8.544 alpha=107.00 beta=107.00 gamma=48.08
Sites, in units of the cell vectors:
1 Er 0.000 0.000 0.000
2 Er 0.344 0.344 0.159
3 Er 0.344 0.344 0.683
4 Er 0.656 0.656 0.317
5 Er 0.656 0.656 0.841
6 Ge 0.500 0.500 0.000
7 Te 0.164 0.164 0.826
8 Te 0.172 0.172 0.336
9 Te 0.500 0.500 0.500
10 Te 0.828 0.828 0.664
11 Te 0.836 0.836 0.174

Results
DFT total energy = -57.48 eV/f.u.
density = 7.7 g cm⁻³
energy relative to the elements, uncorrected = -1.304 eV per atom
volume = 30.292 Å³ per atom
total magnetization = 0.000 Bohr magnetons per cell

=====

Computed, not measured: ErGeTe after structural relaxation at the PBE level of DFT.

Unit cell a=7.540 b=7.540 c=6.746 alpha=105.41 beta=105.41 gamma=30.11
Sites, in units of the cell vectors:
1 Er 0.095 0.095 0.213
2 Er 0.905 0.905 0.787
3 Ge 0.301 0.301 0.482
4 Ge 0.699 0.699 0.518
5 Te 0.416 0.416 0.153
6 Te 0.584 0.584 0.847

Results
DFT total energy = -14.31 eV/f.u.
density = 6.6 g cm⁻³
energy relative to the elements, uncorrected = -0.664 eV per atom
volume = 30.834 Å³ per atom
total magnetization = 0.000 Bohr magnetons per cell

=====

Computed, not measured: Er2GeTe after structural relaxation at the PBE level of DFT.

Unit cell a=5.101 b=5.101 c=5.886 alpha=90.00 beta=90.00 gamma=120.00
Sites, in units of the cell vectors:
1 Er 0.000 0.000 0.000
2 Er 0.333 0.667 0.500
3 Ge 0.333 0.667 0.000
4 Te 0.000 0.000 0.500

Results
relative energy among the computed polymorphs = 352.6 meV/atom
DFT total energy = -20.10 eV/f.u.
density = 6.7 g cm⁻³
energy relative to the elements, uncorrected = -0.805 eV per atom
volume = 33.166 Å³ per atom
total magnetization = 0.000 Bohr magnetons per cell

=====

Computed, not measured: Er3GeTe2 after structural relaxation at the PBE level of DFT.

Unit cell a=7.391 b=7.391 c=7.343 alpha=99.77 beta=99.77 gamma=119.30
Sites, in units of the cell vectors:
1 Er 0.000 0.500 0.000
2 Er 0.142 0.288 0.493
3 Er 0.288 0.142 0.993
4 Er 0.500 0.000 0.500
5 Er 0.712 0.858 0.007
6 Er 0.858 0.712 0.507
7 Ge 0.091 0.909 0.250
8 Ge 0.909 0.091 0.750
9 Te 0.260 0.740 0.750
10 Te 0.419 0.581 0.250
11 Te 0.581 0.419 0.750
12 Te 0.740 0.260 0.250

Results
relative energy among the computed polymorphs = 15.5 meV/atom
DFT total energy = -31.93 eV/f.u.
density = 8.4 g cm⁻³
energy relative to the elements, uncorrected = -1.223 eV per atom
volume = 27.456 Å³ per atom
total magnetization = 0.000 Bohr magnetons per cell

=====

Computed, not measured: Er2GeTe after structural relaxation at the PBE level of DFT.

Unit cell a=7.439 b=7.439 c=7.439 alpha=32.88 beta=32.88 gamma=32.88
Sites, in units of the cell vectors:
1 Er 0.239 0.239 0.239
2 Er 0.761 0.761 0.761
3 Ge 0.500 0.500 0.500
4 Te 0.000 0.000 0.000

Results
relative energy among the computed polymorphs = 0.0 meV/atom
DFT total energy = -21.51 eV/f.u.
density = 8.2 g cm⁻³
energy relative to the elements, uncorrected = -1.158 eV per atom
volume = 26.987 Å³ per atom
total magnetization = 0.000 Bohr magnetons per cell

=====

Computed, not measured: Er3GeTe2 after structural relaxation at the PBE level of DFT.

Unit cell a=14.112 b=13.455 c=7.406 alpha=79.37 beta=69.57 gamma=31.05
Sites, in units of the cell vectors:
1 Er 0.037 0.536 0.187
2 Er 0.096 0.654 0.654
3 Er 0.187 0.740 0.037
4 Er 0.260 0.813 0.464
5 Er 0.346 0.904 0.904
6 Er 0.464 0.963 0.260
7 Er 0.536 0.037 0.740
8 Er 0.654 0.096 0.096
9 Er 0.740 0.187 0.536
10 Er 0.813 0.260 0.963
11 Er 0.904 0.346 0.346
12 Er 0.963 0.464 0.813
13 Ge 0.041 0.041 0.209
14 Ge 0.209 0.209 0.041
15 Ge 0.791 0.791 0.959
16 Ge 0.959 0.959 0.791
17 Te 0.128 0.128 0.622
18 Te 0.295 0.295 0.455
19 Te 0.378 0.378 0.872
20 Te 0.455 0.455 0.295
21 Te 0.545 0.545 0.705
22 Te 0.622 0.622 0.128
23 Te 0.705 0.705 0.545
24 Te 0.872 0.872 0.378

Results
relative energy among the computed polymorphs = 0.0 meV/atom
DFT total energy = -32.02 eV/f.u.
density = 8.3 g cm⁻³
energy relative to the elements, uncorrected = -1.238 eV per atom
volume = 27.516 Å³ per atom
total magnetization = 0.001 Bohr magnetons per cell

=====

Computed, not measured: Er2GeTe4 after structural relaxation at the PBE level of DFT.

Unit cell a=8.226 b=8.226 c=7.555 alpha=115.99 beta=115.99 gamma=30.45
Sites, in units of the cell vectors:
1 Er 0.239 0.239 0.223
2 Er 0.761 0.761 0.777
3 Ge 0.500 0.500 0.500
4 Te 0.131 0.131 0.475
5 Te 0.382 0.382 0.054
6 Te 0.618 0.618 0.946
7 Te 0.869 0.869 0.525

Results
DFT total energy = -33.12 eV/f.u.
density = 6.6 g cm⁻³
energy relative to the elements, uncorrected = -0.973 eV per atom
volume = 32.971 Å³ per atom
total magnetization = 0.000 Bohr magnetons per cell

=====

The highest density belongs to which entry?
number 5

=====

The highest density belongs to which entry?
number 5

=====

Which value of energy relative to the elements, uncorrected does entry 6 give?
-1.158 eV per atom